Compound: Sc8AlTc2
Source: Alexandria
Functional: PBE
Structure: relaxed

abc: 8.3448 8.3448 6.4517
angles: 112.67 112.67 34.34
With the nearest neighbours (Å) after each atom.
Element x y z (fractional)
Sc: 0.0000 0.0000 0.0000  2 Tc 2.72, 2 Sc 3.02
Sc: 0.1112 0.1112 0.6802  1 Tc 2.56
Sc: 0.2948 0.2948 0.1882  3 Tc 2.69-2.85
Sc: 0.3314 0.3314 0.7556  1 Al 2.84, 3 Tc 2.84-3.01, 3 Sc 3.07
Sc: 0.5007 0.5007 0.2711  1 Al 2.80, 4 Sc 3.02-3.11
Sc: 0.6692 0.6692 0.0931  3 Tc 2.83-3.01, 1 Al 2.84, 3 Sc 3.07-3.08
Sc: 0.7061 0.7061 0.5991  3 Tc 2.68-2.85
Sc: 0.8900 0.8900 0.4578  1 Tc 2.56
Al: 0.5004 0.5004 0.7048  9 Sc 2.80-3.12
Tc: 0.1660 0.1660 0.3575  6 Sc 2.56-2.85
Tc: 0.8340 0.8340 0.0252  6 Sc 2.56-2.85

Summary:
- Formation enthalpy at 0 K: -191.8 meV/atom

***

Compound: ScAl11Tc
Source: Alexandria
Functional: PBE
Structure: relaxed

abc: 6.8684 6.8684 6.9976
angles: 97.86 97.86 135.27
With the nearest neighbours (Å) after each atom.
Element x y z (fractional)
Sc: 0.0000 0.0000 0.0000  18 Al 3.20-3.50, 2 Tc 3.54
Al: 0.0000 0.0000 0.5000  2 Tc 2.61, 8 Al 2.66-2.74
Al: 0.0000 0.5000 0.0000  10 Al 2.61-2.89
Al: 0.0166 0.3614 0.3570  1 Tc 2.70, 8 Al 2.72-2.98
Al: 0.2897 0.5015 0.7836  1 Tc 2.61, 7 Al 2.66-2.91
Al: 0.3614 0.0166 0.3570  1 Tc 2.70, 8 Al 2.72-2.98
Al: 0.4985 0.7103 0.2164  1 Tc 2.61, 7 Al 2.66-2.91
Al: 0.5000 0.0000 0.0000  10 Al 2.61-2.89
Al: 0.5015 0.2897 0.7836  1 Tc 2.61, 7 Al 2.66-2.91
Al: 0.6386 0.9834 0.6430  1 Tc 2.70, 8 Al 2.72-2.98
Al: 0.7103 0.4985 0.2164  1 Tc 2.61, 7 Al 2.66-2.91
Al: 0.9834 0.6386 0.6430  1 Tc 2.70, 8 Al 2.72-2.98
Tc: 0.5000 0.5000 0.5000  10 Al 2.61-2.70

Summary:
- Formation enthalpy at 0 K: -187.8 meV/atom

***

Compound: Sc3Al2Tc
Source: Alexandria
Functional: PBE
Structure: relaxed

abc: 6.5308 6.5308 5.6308
angles: 90.00 90.00 102.42
With the nearest neighbours (Å) after each atom.
Element x y z (fractional)
Sc: 0.0471 0.5886 0.2500  1 Tc 2.65
Sc: 0.0772 0.9228 0.7500  1 Tc 2.48
Sc: 0.4114 0.9529 0.2500  1 Tc 2.65
Sc: 0.5886 0.0471 0.7500  1 Tc 2.65
Sc: 0.9228 0.0772 0.2500  1 Tc 2.48
Sc: 0.9529 0.4114 0.7500  1 Tc 2.65
Al: 0.3336 0.3336 0.0000  2 Tc 2.68, 3 Al 2.72-2.82, 2 Sc 2.99
Al: 0.3336 0.3336 0.5000  2 Tc 2.68, 3 Al 2.72-2.82, 2 Sc 2.99
Al: 0.6664 0.6664 0.0000  2 Tc 2.68, 3 Al 2.72-2.82, 2 Sc 2.99
Al: 0.6664 0.6664 0.5000  2 Tc 2.68, 3 Al 2.72-2.82, 2 Sc 2.99
Tc: 0.3207 0.6793 0.7500  3 Sc 2.48-2.65, 4 Al 2.68
Tc: 0.6793 0.3207 0.2500  3 Sc 2.48-2.65, 4 Al 2.68

Summary:
- Formation enthalpy at 0 K: -294.6 meV/atom

***

Compound: Sc2AlTc
Source: Alexandria
Functional: PBE
Structure: relaxed

abc: 8.9824 8.9824 8.9824
angles: 20.40 20.40 20.40
With the nearest neighbours (Å) after each atom.
Element x y z (fractional)
Sc: 0.2411 0.2411 0.2411  3 Tc 2.69
Sc: 0.7589 0.7589 0.7589  3 Tc 2.69
Al: 0.0000 0.0000 0.0000  6 Sc 3.05, 6 Al 3.18
Tc: 0.5000 0.5000 0.5000  6 Sc 2.69

Summary:
- Polymorph energy (0 for the lowest one): 238 meV/atom
- Formation enthalpy at 0 K: -139.9 meV/atom

***

Compound: Sc6Al5Tc
Source: Alexandria
Functional: PBE
Structure: relaxed

abc: 8.2085 8.2085 8.2085
angles: 146.32 131.83 60.06
With the nearest neighbours (Å) after each atom.
Element x y z (fractional)
Sc: 0.0819 0.3375 0.7444  1 Tc 2.83, 7 Al 2.88-2.97
Sc: 0.2409 0.0000 0.2409  6 Al 2.86-2.94, 2 Tc 2.87
Sc: 0.4069 0.6625 0.7444  1 Tc 2.83, 7 Al 2.88-2.97
Sc: 0.5931 0.3375 0.2556  1 Tc 2.83, 7 Al 2.88-2.97
Sc: 0.7591 0.0000 0.7591  6 Al 2.86-2.94, 2 Tc 2.87
Sc: 0.9181 0.6625 0.2556  1 Tc 2.83, 7 Al 2.88-2.97
Al: 0.1663 0.1663 0.0000  8 Sc 2.86-2.97
Al: 0.3329 0.8329 0.5000  8 Sc 2.92-2.94
Al: 0.5000 0.5000 0.0000  8 Sc 2.88-2.94
Al: 0.6671 0.1671 0.5000  8 Sc 2.92-2.94
Al: 0.8337 0.8337 0.0000  8 Sc 2.86-2.97
Tc: 0.0000 0.5000 0.5000  8 Sc 2.83-2.87

Summary:
- Formation enthalpy at 0 K: -476.5 meV/atom

***

Compound: Sc2AlTc
Source: Alexandria
Functional: PBE
Structure: relaxed

abc: 4.6765 4.6765 4.6765
angles: 60.00 60.00 60.00
With the nearest neighbours (Å) after each atom.
Element x y z (fractional)
Sc: 0.2500 0.2500 0.2500  4 Tc 2.86, 4 Al 2.86
Sc: 0.7500 0.7500 0.7500  4 Tc 2.86, 4 Al 2.86
Al: 0.0000 0.0000 0.0000  8 Sc 2.86
Tc: 0.5000 0.5000 0.5000  8 Sc 2.86

Summary:
- Polymorph energy (0 for the lowest one): 10 meV/atom
- Formation enthalpy at 0 K: -367.9 meV/atom

***

Compound: Sc2AlTc
Source: Alexandria
Functional: PBE
Structure: relaxed

abc: 3.3590 3.3590 6.7751
angles: 90.00 90.00 90.00
With the nearest neighbours (Å) after each atom.
Element x y z (fractional)
Sc: 0.0000 0.0000 0.0000  1 Tc 2.76, 4 Al 2.89
Sc: 0.5000 0.5000 0.3471  1 Al 2.78, 4 Tc 2.90
Al: 0.5000 0.5000 0.7570  4 Tc 2.62, 5 Sc 2.78-2.89
Tc: 0.0000 0.0000 0.5933  4 Al 2.62, 5 Sc 2.76-2.90

Summary:
- Polymorph energy (0 for the lowest one): 115 meV/atom
- Formation enthalpy at 0 K: -263.1 meV/atom

***

Compound: Sc2AlTc
Source: Alexandria
Functional: PBE
Structure: relaxed

abc: 2.9890 2.9890 8.8642
angles: 90.00 90.00 108.79
With the nearest neighbours (Å) after each atom.
Element x y z (fractional)
Sc: 0.0000 0.0000 0.2261  2 Tc 2.65
Sc: 0.0000 0.0000 0.7739  2 Tc 2.65
Al: 0.5000 0.5000 0.5000  4 Sc 2.99, 4 Al 2.99
Tc: 0.5000 0.5000 0.0000  4 Sc 2.65

Summary:
- Polymorph energy (0 for the lowest one): 186 meV/atom
- Formation enthalpy at 0 K: -192.2 meV/atom